1.
Ca3Zn8Sn3 GGA-PBE optimized geometry; energy relative to the elements = -0.276 eV per atom; space group = Immm (71)
1.0
-2.209 5.145 6.546
2.209 -5.145 6.546
2.209 5.145 -6.546
Ca Zn Sn
3 8 3
Direct
0.000 0.000 0.000
0.309 0.309 0.000
0.691 0.691 0.000
0.048 0.670 0.378
0.100 0.843 0.257
0.292 0.670 0.622
0.414 0.157 0.257
0.586 0.843 0.743
0.708 0.330 0.378
0.900 0.157 0.743
0.952 0.330 0.622
0.276 0.500 0.776
0.500 0.000 0.500
0.724 0.500 0.224


2.
BeZnTePO GGA-PBE optimized geometry; space group = Pmm2 (25); formation energy (no corrections) = -0.703 eV per atom; distance to the lowest polymorph of the same formula = 0.272 eV per formula unit
1.0
2.917 0.000 0.000
0.000 4.084 0.000
0.000 0.000 7.483
Be Zn Te P O
1 1 1 1 1
Direct
0.000 0.000 0.000
0.500 0.000 0.652
0.000 0.500 0.222
0.000 0.500 0.570
0.500 0.000 0.923


3.
Ca2H5Pd2 GGA-PBE optimized geometry; space group = Imma (74)
1.0
-2.604 7.392 2.610
2.604 -7.392 2.610
2.604 7.392 -2.610
Ca H Pd
4 10 4
Direct
0.129 0.002 0.127
0.375 0.002 0.373
0.625 0.998 0.627
0.871 0.998 0.873
0.105 0.475 0.630
0.253 0.000 0.753
0.253 0.500 0.253
0.345 0.475 0.870
0.500 0.000 0.000
0.500 0.500 0.500
0.655 0.525 0.130
0.747 0.000 0.247
0.747 0.500 0.747
0.895 0.525 0.370
0.000 0.500 0.500
0.243 0.493 0.750
0.500 0.500 0.000
0.757 0.507 0.250


4.
Ba2SiSeN GGA-PBE optimized geometry; space group = P4/mmm (123); formation energy (no corrections) = -0.833 eV per atom
1.0
5.846 0.000 0.000
0.000 5.846 0.000
0.000 0.000 3.766
Ba Si Se N
2 1 1 1
Direct
0.000 0.500 0.000
0.500 0.000 0.000
0.000 0.000 0.500
0.500 0.500 0.500
0.000 0.000 0.000


5.
In7Hg12Pb2 GGA-PBE optimized geometry; energy relative to the elements = 0.020 eV per atom; space group = P-1 (2)
1.0
6.138 0.000 0.000
1.069 8.726 0.000
0.665 3.772 10.729
In Hg Pb
7 12 2
Direct
0.000 0.000 0.000
0.026 0.592 0.106
0.318 0.920 0.705
0.461 0.246 0.742
0.539 0.754 0.258
0.682 0.080 0.295
0.974 0.408 0.894
0.042 0.771 0.301
0.111 0.215 0.163
0.234 0.007 0.428
0.363 0.369 0.449
0.462 0.837 0.979
0.476 0.548 0.850
0.524 0.452 0.150
0.538 0.163 0.021
0.637 0.631 0.551
0.766 0.993 0.572
0.889 0.785 0.837
0.958 0.229 0.699
0.127 0.625 0.606
0.873 0.375 0.394


6.
BaCrHg2 GGA-PBE optimized geometry; energy relative to the elements = 0.073 eV per atom; space group = P4/mmm (123)
1.0
3.714 0.000 0.000
0.000 3.714 0.000
0.000 0.000 7.819
Ba Cr Hg
1 1 2
Direct
0.000 0.000 0.000
0.000 0.000 0.500
0.500 0.500 0.305
0.500 0.500 0.695


7.
CsCaFe3 GGA-PBE optimized geometry; energy relative to the elements = 2.090 eV per atom; space group = Pm-3m (221); distance to the lowest polymorph of the same formula = 1.523 eV per formula unit
1.0
5.005 0.000 0.000
0.000 5.005 0.000
0.000 0.000 5.005
Cs Ca Fe
1 1 3
Direct
0.000 0.000 0.000
0.500 0.500 0.500
0.000 0.000 0.500
0.000 0.500 0.000
0.500 0.000 0.000


8.
Sr3Sc5F12 GGA-PBE optimized geometry; space group = Ia-3d (230); formation energy (no corrections) = -2.962 eV per atom
1.0
-6.927 6.927 6.927
6.927 -6.927 6.927
6.927 6.927 -6.927
Sr Sc F
12 20 48
Direct
0.125 0.250 0.375
0.125 0.375 0.750
0.250 0.375 0.125
0.250 0.875 0.625
0.375 0.125 0.250
0.375 0.750 0.125
0.625 0.250 0.875
0.625 0.875 0.750
0.750 0.125 0.375
0.750 0.625 0.875
0.875 0.625 0.250
0.875 0.750 0.625
0.000 0.000 0.000
0.000 0.000 0.500
0.000 0.500 0.000
0.000 0.500 0.500
0.125 0.750 0.875
0.125 0.875 0.250
0.250 0.125 0.875
0.250 0.625 0.375
0.375 0.250 0.625
0.375 0.625 0.750
0.500 0.000 0.000
0.500 0.000 0.500
0.500 0.500 0.000
0.500 0.500 0.500
0.625 0.375 0.250
0.625 0.750 0.375
0.750 0.375 0.625
0.750 0.875 0.125
0.875 0.125 0.750
0.875 0.250 0.125
0.048 0.209 0.144
0.048 0.338 0.903
0.065 0.709 0.662
0.065 0.856 0.403
0.097 0.644 0.435
0.097 0.952 0.662
0.144 0.048 0.209
0.144 0.597 0.935
0.162 0.209 0.565
0.162 0.452 0.597
0.209 0.144 0.048
0.209 0.565 0.162
0.291 0.338 0.935
0.291 0.452 0.356
0.338 0.903 0.048
0.338 0.935 0.291
0.356 0.291 0.452
0.356 0.565 0.903
0.403 0.065 0.856
0.403 0.838 0.548
0.435 0.097 0.644
0.435 0.838 0.791
0.452 0.356 0.291
0.452 0.597 0.162
0.548 0.403 0.838
0.548 0.644 0.709
0.565 0.162 0.209
0.565 0.903 0.356
0.597 0.162 0.452
0.597 0.935 0.144
0.644 0.435 0.097
0.644 0.709 0.548
0.662 0.065 0.709
0.662 0.097 0.952
0.709 0.548 0.644
0.709 0.662 0.065
0.791 0.435 0.838
0.791 0.856 0.952
0.838 0.548 0.403
0.838 0.791 0.435
0.856 0.403 0.065
0.856 0.952 0.791
0.903 0.048 0.338
0.903 0.356 0.565
0.935 0.144 0.597
0.935 0.291 0.338
0.952 0.662 0.097
0.952 0.791 0.856


no.,E (eV/atom),DOS(E_F) (states/eV per cell)
1,-2.29,4.88
2,-4.40,0.99
3,-4.01,3.26
4,-5.05,2.96
5,-1.42,6.52
6,-2.96,2.21
7,-3.56,6.89
8,-5.92,44.78